Model a:
Entry from Alexandria via LeMat-Bulk: a geometry-optimized TlRuPb2 structure (PBE).

Cell: 7.585 7.585 7.585 Å, 155.36 144.68 43.54°
Atoms (fractional coordinates):
Tl (0.000, 0.000, 0.000)
Ru (0.187, 0.687, 0.500)
Pb (0.358, 0.358, 0.000)
Pb (0.678, 0.178, 0.500)

Calculated values
Symmetry = Imm2


Model b:
Entry from Alexandria via LeMat-Bulk: a geometry-optimized TlRuPb2 structure (PBE).

Cell: 3.667 5.107 5.171 Å, 90.00 90.00 90.00°
Atoms (fractional coordinates):
Tl (0.000, 0.000, 0.000)
Ru (0.500, 0.000, 0.500)
Pb (0.000, 0.500, 0.500)
Pb (0.500, 0.500, 0.000)

Calculated values
Symmetry = Pmmm


Model c:
Entry from Alexandria via LeMat-Bulk: a geometry-optimized TlRuPb2 structure (PBE).

Cell: 3.675 4.816 5.799 Å, 90.00 108.42 90.00°
Atoms (fractional coordinates):
Tl (0.000, 0.000, 0.000)
Ru (0.863, 0.500, 0.721)
Pb (0.277, 0.000, 0.551)
Pb (0.585, 0.500, 0.170)

Calculated values
Symmetry = Pm


Model d:
Entry from Alexandria via LeMat-Bulk: a geometry-optimized TlRuPb2 structure (PBE).

Cell: 5.139 5.139 3.664 Å, 90.00 90.00 90.00°
Atoms (fractional coordinates):
Tl (0.000, 0.000, 0.000)
Ru (0.500, 0.500, 0.000)
Pb (0.000, 0.500, 0.500)
Pb (0.500, 0.000, 0.500)

Calculated values
Symmetry = P4/mmm


The least stable of them is model b.